1.
Computed, not measured: a relaxed LuInFePd crystal at the GGA-PBE level of DFT.

Results
Theoretical density, g/cm3: 9.96
E above lowest polymorph, meV/atom: 173.3
Symmetry: F-43m (216)

abc: 6.7061 6.7061 6.7061
angles: 90.00 90.00 90.00
Fractional coordinates of all 16 atoms:
1 Lu 0.0000 0.0000 0.0000
2 Lu 0.0000 0.5000 0.5000
3 Lu 0.5000 0.0000 0.5000
4 Lu 0.5000 0.5000 0.0000
5 In 0.2500 0.2500 0.2500
6 In 0.2500 0.7500 0.7500
7 In 0.7500 0.2500 0.7500
8 In 0.7500 0.7500 0.2500
9 Fe 0.0000 0.0000 0.5000
10 Fe 0.0000 0.5000 0.0000
11 Fe 0.5000 0.0000 0.0000
12 Fe 0.5000 0.5000 0.5000
13 Pd 0.2500 0.2500 0.7500
14 Pd 0.2500 0.7500 0.2500
15 Pd 0.7500 0.2500 0.2500
16 Pd 0.7500 0.7500 0.7500


2.
Computed, not measured: a relaxed Ho2TmCd3Ga3 crystal at the GGA-PBE level of DFT.

Results
E, eV per atom: -3.330
Theoretical density, g/cm3: 8.76
Symmetry: Amm2 (38)

abc: 4.3900 7.2138 7.2138
angles: 119.89 90.00 90.00
Fractional coordinates of all 9 atoms:
1 Ho 0.0000 0.2124 0.7876
2 Ho 0.0000 0.7876 0.2124
3 Tm 0.0000 0.6373 0.6373
4 Cd 0.5000 0.2126 0.4627
5 Cd 0.5000 0.4627 0.2126
6 Cd 0.5000 0.9629 0.9629
7 Ga 0.0000 0.2141 0.2141
8 Ga 0.5000 0.5465 0.8785
9 Ga 0.5000 0.8785 0.5465